No. 1
PaAsH after structural relaxation. Source: OQMD via LeMat-Bulk, functional PBE.

```
3
Lattice="3.9015 0.0000 0.0000 -1.9507 3.3788 0.0000 0.0000 0.0000 3.8493" Properties=species:S:1:pos:R:3 pbc="T T T"
Pa 0.0000 0.0000 0.0000
As 0.0000 2.2525 1.9246
H 1.9507 1.1263 0.0000
```

Output
The calculation puts the total energy at -19.98 eV per formula unit. For the spin magnetization, the calculation gives 0.098 Bohr magnetons per cell.

No. 2
NaAcHgPb after structural relaxation. Source: OQMD via LeMat-Bulk, functional PBE.

```
16
Lattice="7.9380 0.0000 0.0000 0.0000 7.9380 0.0000 0.0000 0.0000 7.9380" Properties=species:S:1:pos:R:3 pbc="T T T"
Na 0.0000 0.0000 0.0000
Na 0.0000 3.9690 3.9690
Na 3.9690 0.0000 3.9690
Na 3.9690 3.9690 0.0000
Ac 0.0000 0.0000 3.9690
Ac 0.0000 3.9690 0.0000
Ac 3.9690 0.0000 0.0000
Ac 3.9690 3.9690 3.9690
Hg 1.9845 1.9845 5.9535
Hg 1.9845 5.9535 1.9845
Hg 5.9535 1.9845 1.9845
Hg 5.9535 5.9535 5.9535
Pb 1.9845 1.9845 1.9845
Pb 1.9845 5.9535 5.9535
Pb 5.9535 1.9845 5.9535
Pb 5.9535 5.9535 1.9845
```

Output
The calculation puts the total energy at -11.16 eV per formula unit. For the spin magnetization, the calculation gives 0.002 Bohr magnetons per cell.

No. 3
Al8MoW2 after structural relaxation. Source: OQMD via LeMat-Bulk, functional PBE.

```
11
Lattice="4.5936 -1.8380 0.0000 4.5936 1.8380 0.0000 -1.8780 0.0000 9.8983" Properties=species:S:1:pos:R:3 pbc="T T T"
Al -0.2319 0.0000 3.1840
Al -0.5771 0.0000 9.4753
Al 0.9830 0.0000 5.8447
Al 2.4709 0.0000 2.2027
Al 4.8383 0.0000 7.6956
Al 6.3262 0.0000 4.0535
Al 7.8863 0.0000 0.4229
Al 7.5411 0.0000 6.7143
Mo 3.6546 0.0000 4.9491
W 2.1438 0.0000 8.3365
W 5.1655 0.0000 1.5617
```

Output
The calculation puts the total energy at -69.26 eV per formula unit. For the spin magnetization, the calculation gives 0.017 Bohr magnetons per cell.

No. 4
Np2U2S7 after structural relaxation. Source: OQMD via LeMat-Bulk, functional PBE.

```
11
Lattice="-1.9462 6.9249 4.2505 1.9462 -6.9249 4.2505 1.9462 6.9249 -4.2505" Properties=species:S:1:pos:R:3 pbc="T T T"
Np 0.0000 3.3249 0.0000
Np 0.0000 10.5249 0.0000
U 1.9462 0.0000 2.5467
U 0.0000 0.0000 6.3386
S 1.9462 -2.5499 1.6876
S 0.0000 0.0000 0.6083
S 1.9462 5.3983 -0.2304
S 1.9462 2.5499 1.6876
S 0.0000 1.5266 4.0201
S 0.0000 5.0552 2.6069
S 0.0000 8.7945 2.6069
```

Output
The calculation puts the total energy at -92.82 eV per formula unit. For the spin magnetization, the calculation gives 11.969 Bohr magnetons per cell.

No. 5
La3CdIr after structural relaxation. Source: OQMD via LeMat-Bulk, functional PBE.

```
10
Lattice="5.9611 0.0000 0.0000 -2.8411 6.3035 0.0000 -2.0385 -2.5870 8.1041" Properties=species:S:1:pos:R:3 pbc="T T T"
La -0.8073 0.3489 2.5935
La -0.8603 4.9525 0.8711
La -0.8329 0.9214 6.2021
La 1.9144 2.7952 1.9020
La 1.9419 -1.2360 7.2330
La 1.8889 3.3676 5.5106
Cd -1.1115 3.5335 3.9005
Cd 2.1931 0.1831 4.2036
Ir -1.0445 -1.4385 7.9036
Ir 2.1260 5.1551 0.2005
```

Output
The calculation puts the total energy at -27.00 eV per formula unit. For the spin magnetization, the calculation gives 0.009 Bohr magnetons per cell.

No. 6
ScZnCoBi after structural relaxation. Source: OQMD via LeMat-Bulk, functional PBE.

```
16
Lattice="6.6208 0.0000 0.0000 0.0000 6.6208 0.0000 0.0000 0.0000 6.6208" Properties=species:S:1:pos:R:3 pbc="T T T"
Sc 0.0000 0.0000 0.0000
Sc 0.0000 3.3104 3.3104
Sc 3.3104 0.0000 3.3104
Sc 3.3104 3.3104 0.0000
Zn 1.6552 1.6552 4.9656
Zn 1.6552 4.9656 1.6552
Zn 4.9656 1.6552 1.6552
Zn 4.9656 4.9656 4.9656
Co 1.6552 1.6552 1.6552
Co 1.6552 4.9656 4.9656
Co 4.9656 1.6552 4.9656
Co 4.9656 4.9656 1.6552
Bi 0.0000 0.0000 3.3104
Bi 0.0000 3.3104 0.0000
Bi 3.3104 0.0000 0.0000
Bi 3.3104 3.3104 3.3104
```

Output
The calculation puts the total energy at -18.77 eV per formula unit. Its energy above the most stable polymorph in this dataset is 0.0 meV per atom. For the spin magnetization, the calculation gives 1.357 Bohr magnetons per cell.

No. 7
CsLa2CuTeSe3 after structural relaxation. Source: OQMD via LeMat-Bulk, functional PBE.

```
16
Lattice="2.2172 -7.7892 0.0000 2.2172 7.7892 0.0000 0.0000 0.0000 14.9241" Properties=species:S:1:pos:R:3 pbc="T T T"
Cs 2.2172 6.2137 11.1931
Cs 2.2172 -6.2137 3.7310
La 2.2172 2.2226 8.4189
La 2.2172 2.2226 13.9672
La 2.2172 -2.2226 0.9569
La 2.2172 -2.2226 6.5052
Cu 2.2172 5.1938 3.7310
Cu 2.2172 -5.1938 11.1931
Te 0.0000 0.0000 0.0000
Te 0.0000 0.0000 7.4621
Se 2.2172 3.7358 1.6916
Se 2.2172 3.7358 5.7705
Se 2.2172 1.3032 11.1931
Se 2.2172 -1.3032 3.7310
Se 2.2172 -3.7358 9.1537
Se 2.2172 -3.7358 13.2325
```

Output
The calculation puts the total energy at -40.23 eV per formula unit. Its energy above the most stable polymorph in this dataset is 0.0 meV per atom. For the spin magnetization, the calculation gives 0.002 Bohr magnetons per cell.

No. 8
TaCuGePd after structural relaxation. Source: OQMD via LeMat-Bulk, functional PBE.

```
16
Lattice="6.2784 0.0000 0.0000 0.0000 6.2784 0.0000 0.0000 0.0000 6.2784" Properties=species:S:1:pos:R:3 pbc="T T T"
Ta 0.0000 0.0000 0.0000
Ta 0.0000 3.1392 3.1392
Ta 3.1392 0.0000 3.1392
Ta 3.1392 3.1392 0.0000
Cu 1.5696 1.5696 4.7088
Cu 1.5696 4.7088 1.5696
Cu 4.7088 1.5696 1.5696
Cu 4.7088 4.7088 4.7088
Ge 0.0000 0.0000 3.1392
Ge 0.0000 3.1392 0.0000
Ge 3.1392 0.0000 0.0000
Ge 3.1392 3.1392 3.1392
Pd 1.5696 1.5696 1.5696
Pd 1.5696 4.7088 4.7088
Pd 4.7088 1.5696 4.7088
Pd 4.7088 4.7088 1.5696
```

Output
The calculation puts the total energy at -25.05 eV per formula unit. Its energy above the most stable polymorph in this dataset is 143.1 meV per atom. For the spin magnetization, the calculation gives 0.004 Bohr magnetons per cell.

Repeat the seventh record exactly.
CsLa2CuTeSe3 after structural relaxation. Source: OQMD via LeMat-Bulk, functional PBE.

```
16
Lattice="2.2172 -7.7892 0.0000 2.2172 7.7892 0.0000 0.0000 0.0000 14.9241" Properties=species:S:1:pos:R:3 pbc="T T T"
Cs 2.2172 6.2137 11.1931
Cs 2.2172 -6.2137 3.7310
La 2.2172 2.2226 8.4189
La 2.2172 2.2226 13.9672
La 2.2172 -2.2226 0.9569
La 2.2172 -2.2226 6.5052
Cu 2.2172 5.1938 3.7310
Cu 2.2172 -5.1938 11.1931
Te 0.0000 0.0000 0.0000
Te 0.0000 0.0000 7.4621
Se 2.2172 3.7358 1.6916
Se 2.2172 3.7358 5.7705
Se 2.2172 1.3032 11.1931
Se 2.2172 -1.3032 3.7310
Se 2.2172 -3.7358 9.1537
Se 2.2172 -3.7358 13.2325
```

Output
The calculation puts the total energy at -40.23 eV per formula unit. Its energy above the most stable polymorph in this dataset is 0.0 meV per atom. For the spin magnetization, the calculation gives 0.002 Bohr magnetons per cell.

What is the spin magnetization in the eighth record? 0.004 Bohr magnetons per cell

Look up the spin magnetization of the eighth one. 0.004 Bohr magnetons per cell